The following is a DFT calculation (GGA-PBE) of a relaxed LuGaSb crystal.

a = 5.0072 Å, b = 5.0072 Å, c = 5.0072 Å
α = 60.00°, β = 60.00°, γ = 60.00°
Positions (direct):
Ga 0.7500 0.7500 0.7500
Sb 0.0000 0.0000 0.0000
Lu 0.2500 0.2500 0.2500

Results
V (Å³/cell): 89
M_tot (μB per formula unit): 0.01
Crystal system: cubic
Total energy (Ha/atom): -0.148